A crystal of Ba4NaBi3O12 relaxed with PBEsol, computed with SCAN.

a = 8.5785 Å, b = 8.5785 Å, c = 8.5785 Å
α = 90.00°, β = 90.00°, γ = 90.00°
Closest atoms and distances in Å follow each position.
Space group Im-3m (No. 229)
Unique sites:
Ba 0.2500 0.2500 0.2500 (multiplicity 8)  12 O 3.03-3.04
Na 0.0000 0.0000 0.0000 (multiplicity 2)  6 O 2.26
Bi 0.0000 0.0000 0.5000 (multiplicity 6)  6 O 2.03-2.14
O 0.0000 0.0000 0.2639 (multiplicity 12)  1 Bi 2.03, 1 Na 2.26
O 0.0000 0.2500 0.5000 (multiplicity 12)  2 Bi 2.14



A crystal of BaNa2SiBi relaxed with PBEsol, computed with SCAN.

a = 6.0563 Å, b = 6.0563 Å, c = 6.1988 Å
α = 90.00°, β = 90.00°, γ = 90.00°
Closest atoms and distances in Å follow each position.
Space group P4/mmm (No. 123)
Unique sites:
Ba 0.0000 0.0000 0.0000 (multiplicity 1)  4 Na 3.03, 2 Bi 3.10
Na 0.0000 0.5000 0.0000 (multiplicity 2)  2 Ba 3.03
Si 0.5000 0.5000 0.5000 (multiplicity 1)  4 Bi 4.28, 8 Na 4.33
Bi 0.0000 0.0000 0.5000 (multiplicity 1)  2 Ba 3.10



A crystal of BaNb3Bi relaxed with PBEsol, computed with SCAN.

formation energy	1532	meV per atom

a = 5.2813 Å, b = 5.2813 Å, c = 5.2813 Å
α = 90.00°, β = 90.00°, γ = 90.00°
Closest atoms and distances in Å follow each position.
Space group Pm-3m (No. 221)
Unique sites:
Ba 0.0000 0.0000 0.0000 (multiplicity 1)  12 Nb 3.73
Nb 0.0000 0.5000 0.5000 (multiplicity 3)  2 Bi 2.64
Bi 0.5000 0.5000 0.5000 (multiplicity 1)  6 Nb 2.64



A crystal of BaNbRe2Bi relaxed with PBEsol, computed with SCAN.

formation energy	1703	meV per atom

a = 4.8031 Å, b = 4.8031 Å, c = 5.6741 Å
α = 90.00°, β = 90.00°, γ = 90.00°
Closest atoms and distances in Å follow each position.
Space group P4/mmm (No. 123)
Unique sites:
Ba 0.0000 0.0000 0.0000 (multiplicity 1)  2 Nb 2.84
Nb 0.0000 0.0000 0.5000 (multiplicity 1)  4 Re 2.40
Re 0.0000 0.5000 0.5000 (multiplicity 2)  2 Nb 2.40
Bi 0.5000 0.5000 0.0000 (multiplicity 1)  4 Ba 3.40, 8 Re 3.72



A crystal of Ba2NbBiSe relaxed with PBEsol, computed with SCAN.

a = 6.5730 Å, b = 6.5730 Å, c = 5.4476 Å
α = 90.00°, β = 90.00°, γ = 90.00°
Closest atoms and distances in Å follow each position.
Space group P4/mmm (No. 123)
Unique sites:
Ba 0.0000 0.5000 0.0000 (multiplicity 2)  2 Bi 3.29
Nb 0.0000 0.0000 0.5000 (multiplicity 1)  8 Ba 4.27, 4 Se 4.65
Bi 0.5000 0.5000 0.0000 (multiplicity 1)  2 Se 2.72
Se 0.5000 0.5000 0.5000 (multiplicity 1)  2 Bi 2.72



A crystal of Ba8Bi4O17 relaxed with PBEsol, computed with SCAN.

ΔE to the lowest computed polymorph	0	meV/atom

a = 19.8101 Å, b = 8.7941 Å, c = 6.2719 Å
α = 90.00°, β = 107.05°, γ = 90.00°
Closest atoms and distances in Å follow each position.
Space group Cm (No. 8)
Unique sites:
Ba 0.0000 0.0000 0.0000 (multiplicity 2)  5 O 2.47-2.74
Ba 0.0379 0.2560 0.5170 (multiplicity 4)  6 O 2.63-2.89
Ba 0.1753 0.2354 0.1239 (multiplicity 4)  4 O 2.66-2.91
Ba 0.3440 0.2393 0.7854 (multiplicity 4)  6 O 2.69-2.91
Ba 0.3668 0.0000 0.2986 (multiplicity 2)  4 O 2.48-2.56
Bi 0.0250 0.5000 0.9654 (multiplicity 2)  6 O 2.08-2.26
Bi 0.1868 0.0000 0.6427 (multiplicity 2)  6 O 2.12-2.15
Bi 0.1906 0.5000 0.6360 (multiplicity 2)  6 O 2.20-2.42
Bi 0.3514 0.5000 0.2859 (multiplicity 2)  5 O 2.09-2.18
O 0.0362 0.2651 0.9626 (multiplicity 4)  1 Bi 2.08
O 0.0883 0.5000 0.3199 (multiplicity 2)  2 Bi 2.21-2.38
O 0.0987 0.0000 0.7726 (multiplicity 2)  1 Bi 2.13
O 0.1154 0.0000 0.3165 (multiplicity 2)  1 Bi 2.12
O 0.1260 0.5000 0.8678 (multiplicity 2)  2 Bi 2.20-2.26
O 0.1904 0.2444 0.6408 (multiplicity 4)  2 Bi 2.15-2.25
O 0.2542 0.0000 0.9743 (multiplicity 2)  1 Bi 2.12
O 0.2560 0.5000 0.3658 (multiplicity 2)  1 Bi 2.09
O 0.2761 0.0000 0.5181 (multiplicity 2)  1 Bi 2.13
O 0.2938 0.5000 0.9322 (multiplicity 2)  2 Bi 2.18-2.32
O 0.4016 0.3014 0.2307 (multiplicity 4)  1 Bi 2.09
O 0.4054 0.5000 0.6282 (multiplicity 2)  1 Bi 2.10
O 0.4217 0.0000 0.9874 (multiplicity 2)  1 Bi 2.09
O 0.4767 0.0000 0.6162 (multiplicity 2)  1 Bi 2.12



A crystal of Ba4Bi3O11 relaxed with PBEsol, computed with SCAN.

a = 8.8162 Å, b = 8.6681 Å, c = 8.6777 Å
α = 90.00°, β = 90.00°, γ = 90.00°
Closest atoms and distances in Å follow each position.
Space group Amm2 (No. 38)
Unique sites:
Ba 0.2431 0.2286 0.0000 (multiplicity 8)  2 O 2.55-2.83
Bi 0.0000 0.0000 0.2627 (multiplicity 2)  6 O 2.14-2.20
Bi 0.0000 0.0000 0.7542 (multiplicity 2)  6 O 2.05-2.23
Bi 0.5000 0.0000 0.2676 (multiplicity 2)  5 O 2.02-2.21
O 0.0000 0.0000 0.0115 (multiplicity 2)  2 Bi 2.18-2.23
O 0.0000 0.0000 0.5090 (multiplicity 2)  2 Bi 2.13-2.14
O 0.0000 0.2493 0.2673 (multiplicity 4)  2 Bi 2.16-2.18
O 0.2324 0.0000 0.7671 (multiplicity 4)  1 Bi 2.05
O 0.2500 0.0000 0.2566 (multiplicity 4)  2 Bi 2.20-2.21
O 0.5000 0.0000 0.0347 (multiplicity 2)  1 Bi 2.02
O 0.5000 0.1997 0.3869 (multiplicity 4)  1 Bi 2.02



A crystal of Ba3BiO relaxed with PBEsol, computed with SCAN.

a = 5.4134 Å, b = 5.4134 Å, c = 5.4134 Å
α = 90.00°, β = 90.00°, γ = 90.00°
Closest atoms and distances in Å follow each position.
Space group Pm-3m (No. 221)
Unique sites:
Ba 0.0000 0.0000 0.5000 (multiplicity 3)  2 O 2.71
Bi 0.5000 0.5000 0.5000 (multiplicity 1)  12 Ba 3.83
O 0.0000 0.0000 0.0000 (multiplicity 1)  6 Ba 2.71



A crystal of Ba11Bi9O30 relaxed with PBEsol, computed with SCAN.

a = 8.7725 Å, b = 10.6540 Å, c = 10.7041 Å
α = 80.31°, β = 66.05°, γ = 66.53°
Closest atoms and distances in Å follow each position.
Space group P-1 (No. 2)
Unique sites:
Ba 0.0000 0.0000 0.0000 (multiplicity 1)  6 O 2.48-2.51
Ba 0.0391 0.3060 0.1104 (multiplicity 2)  6 O 2.67-2.97
Ba 0.1539 0.8938 0.3009 (multiplicity 2)  6 O 2.76-3.01
Ba 0.2481 0.5019 0.5010 (multiplicity 2)  6 O 2.68-2.94
Ba 0.3632 0.0926 0.6953 (multiplicity 2)  6 O 2.69-2.91
Ba 0.4477 0.6921 0.9010 (multiplicity 2)  5 O 2.69-2.86
Bi 0.0979 0.5965 0.2054 (multiplicity 2)  6 O 2.06-2.18
Bi 0.1982 0.2002 0.4019 (multiplicity 2)  6 O 2.25-2.28
Bi 0.3059 0.7943 0.5958 (multiplicity 2)  6 O 2.07-2.18
Bi 0.3945 0.3967 0.8023 (multiplicity 2)  6 O 2.25-2.30
Bi 0.5000 0.0000 0.0000 (multiplicity 1)  6 O 2.06-2.19
O 0.0107 0.2007 0.8450 (multiplicity 2)  1 Bi 2.06
O 0.0279 0.3464 0.5822 (multiplicity 2)  2 Bi 2.16-2.28
O 0.0670 0.7742 0.6033 (multiplicity 2)  2 Bi 2.16-2.25
O 0.1357 0.4397 0.7770 (multiplicity 2)  2 Bi 2.16-2.25
O 0.1844 0.8447 0.8007 (multiplicity 2)  1 Bi 2.07
O 0.2036 0.3845 0.2635 (multiplicity 2)  2 Bi 2.16-2.26
O 0.2064 0.0069 0.5319 (multiplicity 2)  2 Bi 2.18-2.28
O 0.2292 0.5303 0.9930 (multiplicity 2)  2 Bi 2.18-2.29
O 0.2952 0.9387 0.0217 (multiplicity 2)  1 Bi 2.06
O 0.3435 0.6184 0.1847 (multiplicity 2)  2 Bi 2.18-2.30
O 0.3551 0.0700 0.2113 (multiplicity 2)  2 Bi 2.18-2.27
O 0.3697 0.2016 0.9231 (multiplicity 2)  2 Bi 2.19-2.30
O 0.4026 0.5825 0.6576 (multiplicity 2)  2 Bi 2.16-2.30
O 0.4359 0.7386 0.3829 (multiplicity 2)  2 Bi 2.16-2.25
O 0.4534 0.1804 0.4223 (multiplicity 2)  2 Bi 2.16-2.26



A crystal of Ba5Bi5O13 relaxed with PBEsol, computed with SCAN.

a = 11.0274 Å, b = 6.0249 Å, c = 25.1857 Å
α = 90.00°, β = 100.66°, γ = 90.00°
Closest atoms and distances in Å follow each position.
Space group C2 (No. 5)
Unique sites:
Ba 0.0670 0.0000 0.1494 (multiplicity 4)  4 O 2.66-2.93
Ba 0.0684 0.3931 0.6483 (multiplicity 4)  4 O 2.64-2.93
Ba 0.1475 0.5500 0.9516 (multiplicity 4)  6 O 2.68-2.98
Ba 0.1476 0.8441 0.4529 (multiplicity 4)  5 O 2.71-2.96
Ba 0.2478 0.4459 0.2506 (multiplicity 4)  4 O 2.66-2.90
Bi 0.0000 0.0477 0.0000 (multiplicity 2)  6 O 2.23-2.31
Bi 0.0000 0.3463 0.5000 (multiplicity 2)  6 O 2.22-2.34
Bi 0.0939 0.4738 0.7999 (multiplicity 4)  5 O 2.16-2.30
Bi 0.0985 0.9413 0.3024 (multiplicity 4)  5 O 2.15-2.33
Bi 0.2152 0.5260 0.1038 (multiplicity 4)  5 O 2.10-2.28
Bi 0.2163 0.8626 0.6045 (multiplicity 4)  5 O 2.09-2.30
O 0.0201 0.7842 0.7645 (multiplicity 4)  2 Bi 2.15-2.16
O 0.0329 0.2823 0.2658 (multiplicity 4)  2 Bi 2.27-2.31
O 0.0526 0.8861 0.6490 (multiplicity 4)  2 Bi 2.27-2.30
O 0.0567 0.5019 0.1500 (multiplicity 4)  2 Bi 2.27-2.28
O 0.1151 0.0628 0.9343 (multiplicity 4)  2 Bi 2.27
O 0.1151 0.3274 0.4337 (multiplicity 4)  2 Bi 2.26-2.28
O 0.1221 0.8016 0.0505 (multiplicity 4)  2 Bi 2.23-2.26
O 0.1226 0.5976 0.5473 (multiplicity 4)  2 Bi 2.22-2.27
O 0.1349 0.3160 0.0407 (multiplicity 4)  2 Bi 2.10-2.31
O 0.1410 0.0848 0.5433 (multiplicity 4)  2 Bi 2.09-2.34
O 0.2120 0.6663 0.3468 (multiplicity 4)  2 Bi 2.25-2.26
O 0.2182 0.7039 0.8546 (multiplicity 4)  2 Bi 2.24-2.26
O 0.2460 0.4650 0.7485 (multiplicity 4)  2 Bi 2.30-2.33



A crystal of Ba8Bi4O17 relaxed with PBEsol, computed with SCAN.

ΔE to the lowest computed polymorph	4	meV/atom

a = 6.2811 Å, b = 6.3275 Å, c = 14.0093 Å
α = 102.55°, β = 102.24°, γ = 90.44°
Closest atoms and distances in Å follow each position.
Space group P1 (No. 1)
Unique sites:
Ba 0.0000 0.0000 0.0000 (multiplicity 1)  6 O 2.64-2.95
Ba 0.0878 0.6199 0.1707 (multiplicity 1)  5 O 2.48-2.56
Ba 0.1930 0.2392 0.3240 (multiplicity 1)  6 O 2.65-2.90
Ba 0.3670 0.3887 0.6912 (multiplicity 1)  6 O 2.67-2.96
Ba 0.5133 0.4939 0.0010 (multiplicity 1)  4 O 2.61-2.87
Ba 0.6512 0.7360 0.3229 (multiplicity 1)  6 O 2.65-2.94
Ba 0.7726 0.3171 0.4934 (multiplicity 1)  6 O 2.54-2.74
Ba 0.8647 0.9224 0.6883 (multiplicity 1)  6 O 2.71-2.90
Bi 0.2756 0.8164 0.5078 (multiplicity 1)  5 O 2.08-2.11
Bi 0.4303 0.9474 0.8424 (multiplicity 1)  5 O 2.18-2.36
Bi 0.5984 0.1087 0.1630 (multiplicity 1)  6 O 2.09-2.25
Bi 0.9317 0.4537 0.8370 (multiplicity 1)  6 O 2.08-2.20
O 0.0055 0.6076 0.4308 (multiplicity 1)  1 Bi 2.09
O 0.0781 0.0633 0.5587 (multiplicity 1)  1 Bi 2.10
O 0.0812 0.5521 0.9884 (multiplicity 1)  1 Bi 2.08
O 0.1343 0.6973 0.8030 (multiplicity 1)  2 Bi 2.18-2.32
O 0.1820 0.2180 0.8152 (multiplicity 1)  2 Bi 2.20-2.36
O 0.3345 0.9403 0.1889 (multiplicity 1)  1 Bi 2.10
O 0.4238 0.8086 0.6555 (multiplicity 1)  1 Bi 2.09
O 0.4250 0.3953 0.1923 (multiplicity 1)  1 Bi 2.13
O 0.4274 0.0551 0.0007 (multiplicity 1)  2 Bi 2.18-2.25
O 0.4358 0.0225 0.4449 (multiplicity 1)  1 Bi 2.08
O 0.4637 0.5682 0.4475 (multiplicity 1)  1 Bi 2.11
O 0.6754 0.6783 0.8589 (multiplicity 1)  2 Bi 2.18-2.32
O 0.7219 0.1931 0.8555 (multiplicity 1)  2 Bi 2.20-2.34
O 0.7549 0.8203 0.1237 (multiplicity 1)  1 Bi 2.10
O 0.7764 0.1341 0.3134 (multiplicity 1)  1 Bi 2.14
O 0.7862 0.3560 0.6826 (multiplicity 1)  1 Bi 2.11
O 0.8442 0.2884 0.1307 (multiplicity 1)  1 Bi 2.09



A crystal of Ba3BiPb2O9 relaxed with PBEsol, computed with SCAN.

a = 6.0781 Å, b = 6.0819 Å, c = 13.6577 Å
α = 77.48°, β = 77.45°, γ = 89.84°
Closest atoms and distances in Å follow each position.
Space group P-1 (No. 2)
Unique sites:
Ba 0.0783 0.0789 0.3368 (multiplicity 2)  6 O 2.74-3.00
Ba 0.2532 0.2532 0.9990 (multiplicity 2)  6 O 2.70-2.95
Ba 0.4138 0.4124 0.6652 (multiplicity 2)  6 O 2.69-2.93
Bi 0.1663 0.6667 0.1667 (multiplicity 2)  6 O 2.16-2.17
Pb 0.0000 0.5000 0.5000 (multiplicity 1)  6 O 2.18-2.20
Pb 0.3341 0.8338 0.8321 (multiplicity 2)  6 O 2.17-2.20
Pb 0.5000 0.0000 0.5000 (multiplicity 1)  6 O 2.18-2.19
O 0.0348 0.0378 0.8499 (multiplicity 2)  1 Bi 2.17, 1 Pb 2.20
O 0.0571 0.6132 0.3319 (multiplicity 2)  1 Bi 2.16, 1 Pb 2.20
O 0.1238 0.5394 0.8341 (multiplicity 2)  1 Bi 2.17, 1 Pb 2.20
O 0.2081 0.7911 0.5000 (multiplicity 2)  2 Pb 2.18
O 0.2743 0.7233 0.0003 (multiplicity 2)  1 Bi 2.17, 1 Pb 2.20
O 0.2972 0.2978 0.4843 (multiplicity 2)  2 Pb 2.18-2.19
O 0.3664 0.3700 0.1814 (multiplicity 2)  1 Bi 2.17, 1 Pb 2.20
O 0.3863 0.9470 0.6666 (multiplicity 2)  2 Pb 2.17-2.18
O 0.4569 0.8736 0.1660 (multiplicity 2)  1 Bi 2.17, 1 Pb 2.20



A crystal of Ba2BiRuO6 relaxed with PBEsol, computed with SCAN.

a = 6.0252 Å, b = 6.0252 Å, c = 20.1963 Å
α = 90.00°, β = 90.00°, γ = 120.00°
Closest atoms and distances in Å follow each position.
Space group P6_3/mmc (No. 194)
Unique sites:
Ba 0.0000 0.0000 0.0000 (multiplicity 2)  12 O 3.01-3.18
Ba 0.3333 0.6667 0.1438 (multiplicity 4)  9 O 2.87-3.02
Ba 0.3333 0.6667 0.7500 (multiplicity 2)  12 O 2.97-3.02
Bi 0.3333 0.6667 0.5625 (multiplicity 4)  6 O 2.15-2.37
Ru 0.0000 0.0000 0.1841 (multiplicity 4)  6 O 1.89-2.06
O 0.0000 0.5000 0.0000 (multiplicity 6)  2 Bi 2.15
O 0.1510 0.3021 0.2500 (multiplicity 6)  2 Ru 2.06
O 0.1552 0.3103 0.6355 (multiplicity 12)  1 Ru 1.89



A crystal of Ba3BiRu2O9 relaxed with PBEsol, computed with SCAN.

a = 5.9265 Å, b = 10.2320 Å, c = 14.6606 Å
α = 90.00°, β = 91.64°, γ = 90.00°
Closest atoms and distances in Å follow each position.
Space group C2/c (No. 15)
Unique sites:
Ba 0.0000 0.0040 0.2500 (multiplicity 4)  10 O 2.74-2.97
Ba 0.0063 0.3344 0.5963 (multiplicity 8)  8 O 2.74-3.06
Bi 0.0000 0.0000 0.0000 (multiplicity 4)  6 O 2.27-2.30
Ru 0.0133 0.3338 0.1665 (multiplicity 8)  6 O 1.94-2.03
O 0.0000 0.4916 0.2500 (multiplicity 4)  2 Ru 2.03
O 0.0356 0.1731 0.0966 (multiplicity 8)  1 Ru 1.94
O 0.1951 0.4067 0.4245 (multiplicity 8)  1 Ru 1.94
O 0.2349 0.0930 0.8985 (multiplicity 8)  1 Ru 1.94
O 0.2350 0.2599 0.2600 (multiplicity 8)  2 Ru 2.00-2.02



Total DFT energy (no corrections) (computed, eV per atom): -25.552; -26.167; -41.972; -56.987; -41.650; -27.497; -27.535; -42.310; -28.530; -31.118; -27.493; -28.867; -24.967; -23.521
Mass density (computed, g cm⁻³): 7.32; 3.07; 7.05; 10.30; 4.62; 7.02; 6.77; 6.67; 7.67; 7.83; 6.91; 8.15; 7.12; 7.23